Material: Pm3ReN5
Method: DFT, PBE-GGA
State: relaxed

Cell lengths 7.487, 7.487, 7.487 Å; angles 126.40, 126.40, 79.24 degrees
Element x y z (fractional)
Pm  0.173  0.673  0.847
Pm  0.250  0.250  0.000
Pm  0.327  0.173  0.500
Pm  0.673  0.827  0.500
Pm  0.750  0.750  0.000
Pm  0.827  0.327  0.153
Re  0.250  0.750  0.500
Re  0.750  0.250  0.500
N  0.000  0.000  0.000
N  0.001  0.201  0.500
N  0.201  0.701  0.200
N  0.299  0.499  0.500
N  0.499  0.999  0.200
N  0.500  0.500  0.000
N  0.501  0.001  0.800
N  0.701  0.501  0.500
N  0.799  0.299  0.800
N  0.999  0.799  0.500

Results
Formation energy (no corrections) (kJ per mole of atoms): -97.2

***

Material: K2InTe2O6
Method: DFT, PBE-GGA
State: relaxed

Cell lengths 6.052, 6.052, 6.376 Å; angles 107.44, 107.44, 68.74 degrees
Element x y z (fractional)
K  0.180  0.180  0.119
K  0.820  0.820  0.881
In  0.000  0.000  0.500
Te  0.458  0.458  0.725
Te  0.542  0.542  0.275
O  0.203  0.779  0.247
O  0.221  0.797  0.753
O  0.256  0.256  0.623
O  0.744  0.744  0.377
O  0.779  0.203  0.247
O  0.797  0.221  0.753

Results
Formation energy (no corrections) (kJ per mole of atoms): -111.2

***

Material: SmErZnAu
Method: DFT, PBE-GGA
State: relaxed

Cell lengths 5.107, 5.107, 5.107 Å; angles 60.00, 60.00, 60.00 degrees
Element x y z (fractional)
Sm  0.000  0.000  0.000
Er  0.500  0.500  0.500
Zn  0.750  0.750  0.750
Au  0.250  0.250  0.250

***

These records have uncorrected energy values of -77.4; -53.6; -16.1 eV per formula unit, in the order they appear.